Below is a geometry-optimized Sm3AlSe2 structure, with properties calculated at the PBE level.

As for the formation energy (no corrections): -1.323 eV/atom.

```
data_Sm3AlSe2
_space_group_name_H-M_alt 'I m m m'
_space_group_IT_number 71
_space_group_name_Hall '-I 2 2'
_cell_length_a 4.096
_cell_length_b 5.982
_cell_length_c 13.101
_cell_angle_alpha 90.00
_cell_angle_beta 90.00
_cell_angle_gamma 90.00
loop_
_atom_site_label
_atom_site_type_symbol
_atom_site_fract_x
_atom_site_fract_y
_atom_site_fract_z
_atom_site_occupancy
Sm1 Sm 0.000 0.000 0.000 1
Sm2 Sm 0.000 0.000 0.329 1
Al1 Al 0.000 0.500 0.000 1
Se1 Se 0.000 0.500 0.334 1
```

Below is a geometry-optimized LiAlVRe structure, with properties calculated at the PBE level.

As for the formation energy: -87 meV/atom.

```
data_LiAlVRe
_space_group_name_H-M_alt 'F -4 3 m'
_space_group_IT_number 216
_space_group_name_Hall 'F -4 2 3'
_cell_length_a 6.048
_cell_length_b 6.048
_cell_length_c 6.048
_cell_angle_alpha 90.00
_cell_angle_beta 90.00
_cell_angle_gamma 90.00
loop_
_atom_site_label
_atom_site_type_symbol
_atom_site_fract_x
_atom_site_fract_y
_atom_site_fract_z
_atom_site_occupancy
Li1 Li 0.000 0.000 0.000 1
Al1 Al 0.250 0.250 0.250 1
V1 V 0.250 0.250 0.750 1
Re1 Re 0.000 0.000 0.500 1
```

Below is a geometry-optimized Pa2GaRu3 structure, with properties calculated at the PBE level.

As for the formation energy: -530 meV/atom.

```
data_Pa2GaRu3
_space_group_name_H-M_alt 'R -3 m'
_space_group_IT_number 166
_space_group_name_Hall '-R 3 2"'
_cell_length_a 5.6772
_cell_length_b 5.6772
_cell_length_c 11.4922
_cell_angle_alpha 90.00
_cell_angle_beta 90.00
_cell_angle_gamma 120.00
loop_
_atom_site_label
_atom_site_type_symbol
_atom_site_fract_x
_atom_site_fract_y
_atom_site_fract_z
_atom_site_occupancy
Pa1 Pa 0.0000 0.0000 0.1291 1
Ga1 Ga 0.0000 0.0000 0.5000 1
Ru1 Ru 0.0000 0.5000 0.0000 1
```

Below is a geometry-optimized ZrCrIr2 structure, with properties calculated at the PBE level.

As for the formation energy: -353 meV/atom.

```
data_ZrCrIr2
_space_group_name_H-M_alt 'I -4 m 2'
_space_group_IT_number 119
_space_group_name_Hall 'I -4 -2'
_cell_length_a 3.919
_cell_length_b 3.919
_cell_length_c 8.295
_cell_angle_alpha 90.00
_cell_angle_beta 90.00
_cell_angle_gamma 90.00
loop_
_atom_site_label
_atom_site_type_symbol
_atom_site_fract_x
_atom_site_fract_y
_atom_site_fract_z
_atom_site_occupancy
Zr1 Zr 0.000 0.000 0.000 1
Cr1 Cr 0.000 0.500 0.750 1
Ir1 Ir 0.000 0.000 0.500 1
Ir2 Ir 0.000 0.500 0.250 1
```

Below is a geometry-optimized NdGdErZn structure, with properties calculated at the PBE level.

As for the formation energy: 21 meV/atom.

```
data_NdGdErZn
_space_group_name_H-M_alt 'F -4 3 m'
_space_group_IT_number 216
_space_group_name_Hall 'F -4 2 3'
_cell_length_a 7.624
_cell_length_b 7.624
_cell_length_c 7.624
_cell_angle_alpha 90.00
_cell_angle_beta 90.00
_cell_angle_gamma 90.00
loop_
_atom_site_label
_atom_site_type_symbol
_atom_site_fract_x
_atom_site_fract_y
_atom_site_fract_z
_atom_site_occupancy
Nd1 Nd 0.000 0.000 0.000 1
Gd1 Gd 0.000 0.000 0.500 1
Er1 Er 0.250 0.250 0.250 1
Zn1 Zn 0.250 0.250 0.750 1
```

Below is a geometry-optimized Ca2ZnNi2 structure, with properties calculated at the PBE level.

As for the formation energy: 2 meV/atom.

```
data_Ca2ZnNi2
_space_group_name_H-M_alt 'I 4/m m m'
_space_group_IT_number 139
_space_group_name_Hall '-I 4 2'
_cell_length_a 5.468
_cell_length_b 5.468
_cell_length_c 7.159
_cell_angle_alpha 90.00
_cell_angle_beta 90.00
_cell_angle_gamma 90.00
loop_
_atom_site_label
_atom_site_type_symbol
_atom_site_fract_x
_atom_site_fract_y
_atom_site_fract_z
_atom_site_occupancy
Ca1 Ca 0.000 0.500 0.250 1
Zn1 Zn 0.000 0.000 0.000 1
Ni1 Ni 0.000 0.000 0.338 1
```

Below is a geometry-optimized PmSnSb2 structure, with properties calculated at the PBE level.

As for the formation energy (no corrections): -0.341 eV/atom.

```
data_PmSnSb2
_space_group_name_H-M_alt 'F m -3 m'
_space_group_IT_number 225
_space_group_name_Hall '-F 4 2 3'
_cell_length_a 7.734
_cell_length_b 7.734
_cell_length_c 7.734
_cell_angle_alpha 90.00
_cell_angle_beta 90.00
_cell_angle_gamma 90.00
loop_
_atom_site_label
_atom_site_type_symbol
_atom_site_fract_x
_atom_site_fract_y
_atom_site_fract_z
_atom_site_occupancy
Pm1 Pm 0.000 0.000 0.000 1
Sn1 Sn 0.000 0.000 0.500 1
Sb1 Sb 0.250 0.250 0.250 1
```

Below is a geometry-optimized Ca5CuP3 structure, with properties calculated at the PBE level.

As for the formation energy: -867 meV/atom.

```
data_Ca5CuP3
_space_group_name_H-M_alt 'P 63/m c m'
_space_group_IT_number 193
_space_group_name_Hall '-P 6c 2'
_cell_length_a 8.4319
_cell_length_b 8.4319
_cell_length_c 6.8166
_cell_angle_alpha 90.00
_cell_angle_beta 90.00
_cell_angle_gamma 120.00
loop_
_atom_site_label
_atom_site_type_symbol
_atom_site_fract_x
_atom_site_fract_y
_atom_site_fract_z
_atom_site_occupancy
Ca1 Ca 0.0000 0.2685 0.2500 1
Ca2 Ca 0.3333 0.6667 0.0000 1
Cu1 Cu 0.0000 0.0000 0.0000 1
P1 P 0.0000 0.3886 0.7500 1
```